Record 1
Computed, not measured: an optimized crystal structure of ErTm2Hg at the PBE level of DFT.

The structure in extended XYZ format:
```
8
Lattice="-2.4885 -4.7582 -0.1439 5.3788 -2.7247 -2.9247 4.5712 -2.5178 4.2041" Properties=species:S:1:pos:R:3 pbc="T T T"
Er 3.4021 -1.7925 0.4374
Er 5.2884 -5.8211 0.7680
Hg 3.0892 -4.6074 -1.3315
Hg 2.6835 -4.5035 2.2498
Tm 0.3013 -3.1934 0.1268
Tm 6.0438 -3.1298 -1.0279
Tm 5.6407 -3.0266 2.5302
Tm 8.3738 -4.4120 1.0767
```

Computed properties:
* energy relative to the elements: -0.095 eV/atom
* energy above the most stable polymorph in this dataset: 0.102 eV/atom
* raw total energy: -3.55 eV per atom
* SG: No. 38

=====

Record 2
Computed, not measured: an optimized crystal structure of Na2HfAgBr6 at the PBE level of DFT.

The structure in extended XYZ format:
```
10
Lattice="0.0000 5.4400 5.4400 5.4400 0.0000 5.4400 5.4400 5.4400 0.0000" Properties=species:S:1:pos:R:3 pbc="T T T"
Ag 0.0000 0.0000 0.0000
Br 2.7978 5.4400 5.4400
Br 5.4400 5.4400 8.0822
Br 5.4400 2.7978 5.4400
Br 5.4400 5.4400 2.7978
Br 5.4400 8.0822 5.4400
Br 8.0822 5.4400 5.4400
Hf 5.4400 5.4400 5.4400
Na 2.7200 2.7200 2.7200
Na 8.1600 8.1600 8.1600
```

Computed properties:
* raw total energy: -3.53 eV per atom
* SG: No. 225

=====

Record 3
Computed, not measured: an optimized crystal structure of Ta2ReSi2 at the PBE level of DFT.

The structure in extended XYZ format:
```
5
Lattice="4.2961 -3.3597 2.9501 5.4151 1.9536 2.3037 -6.0688 1.2491 -0.2383" Properties=species:S:1:pos:R:3 pbc="T T T"
Re 0.0000 0.0000 0.0000
Si 3.9179 -0.5673 2.1196
Si 5.7933 -0.8388 3.1342
Ta 1.5415 -1.4068 2.6694
Ta 2.1010 1.2499 2.3461
```

Computed properties:
* raw total energy: -8.90 eV per atom
* SG: No. 139

=====

Record 4
Computed, not measured: an optimized crystal structure of SmFe3NiB at the PBE level of DFT.

The structure in extended XYZ format:
```
12
Lattice="-0.5230 -4.6918 -1.8992 2.3847 3.5892 -2.7064 6.1444 -1.8717 2.9318" Properties=species:S:1:pos:R:3 pbc="T T T"
B 3.5184 -2.8673 -0.7024
B 4.4877 -0.1070 -0.9714
Fe 1.5041 -2.8837 -0.1072
Fe 2.9580 1.2567 -0.5107
Fe 2.6965 -1.0892 -1.4603
Fe 4.1173 -3.6798 1.1397
Fe 5.5711 0.4607 0.7361
Fe 5.3096 -1.8852 -0.2135
Ni 0.4462 -1.9315 -2.1683
Ni 1.4155 0.8289 -2.4373
Sm 0.0000 0.0000 0.0000
Sm 3.0722 -0.9359 1.4659
```

Computed properties:
* raw total energy: -7.20 eV per atom
* SG: No. 191

=====

Record 5
Computed, not measured: an optimized crystal structure of Cd2SeO at the PBE level of DFT.

The structure in extended XYZ format:
```
8
Lattice="-3.6196 0.0000 0.0000 0.0000 0.0000 -5.8885 -1.8098 -6.8473 0.0000" Properties=species:S:1:pos:R:3 pbc="T T T"
Cd -1.8098 -0.8514 -4.4164
Cd -3.6196 -1.8783 -1.4721
Cd -1.8098 -4.9690 -4.4164
Cd -3.6196 -5.9959 -1.4721
O 0.0000 0.0000 0.0000
O 0.0000 0.0000 -2.9443
Se -3.6196 -2.9468 -4.4164
Se -1.8098 -3.9005 -1.4721
```

Computed properties:
* energy above the most stable polymorph in this dataset: 0.262 eV/atom
* raw total energy: -3.04 eV per atom
* SG: No. 63

=====

Record 6
Computed, not measured: an optimized crystal structure of Er2Zr2O5 at the PBE level of DFT.

The structure in extended XYZ format:
```
9
Lattice="-3.0402 6.1252 2.8214 -0.5140 -1.9126 3.5983 3.7089 1.2828 1.2117" Properties=species:S:1:pos:R:3 pbc="T T T"
Er 0.0000 0.0000 0.0000
Er -1.5201 3.0626 1.4107
O -1.0643 0.6703 2.5484
O -2.4899 3.5423 3.8713
O 1.0471 2.2680 1.3551
O -0.3784 5.1400 2.6780
O 0.0774 2.7477 3.8157
Zr 0.9380 1.0137 3.0170
Zr -0.7833 4.4817 4.6144
```

Computed properties:
* energy above the most stable polymorph in this dataset: 0.165 eV/atom
* raw total energy: -8.21 eV per atom
* SG: No. 123

=====

Record 7
Computed, not measured: an optimized crystal structure of Tb2ErCu4Si2Sn2 at the PBE level of DFT.

The structure in extended XYZ format:
```
11
Lattice="-4.0801 -5.7649 4.1279 -5.2390 1.9715 5.9654 2.2397 0.3564 -7.8598" Properties=species:S:1:pos:R:3 pbc="T T T"
Cu -3.5380 -2.8851 2.0565
Cu -6.9225 -4.2627 5.7221
Cu -0.1569 0.8257 -3.4887
Cu -3.5414 -0.5520 0.1769
Er 0.0000 0.0000 0.0000
Si -2.0027 -0.8152 2.1691
Si -7.3164 -2.9782 7.9242
Sn -5.0358 -3.0024 4.2836
Sn -2.0436 -0.4346 -2.0502
Tb -2.1787 -3.2165 -0.5029
Tb -4.9008 -0.2205 2.7364
```

Computed properties:
* energy above the most stable polymorph in this dataset: 0.070 eV/atom
* raw total energy: -4.84 eV per atom
* SG: No. 71

=====

Record 8
Computed, not measured: an optimized crystal structure of LaGa2PtAu at the PBE level of DFT.

The structure in extended XYZ format:
```
10
Lattice="4.4334 0.0000 0.0000 0.0000 4.4334 0.0000 0.0000 0.0000 10.4631" Properties=species:S:1:pos:R:3 pbc="T T T"
Au 0.0000 2.2167 3.7959
Au 2.2167 0.0000 6.6672
Ga 0.0000 2.2167 1.2484
Ga 0.0000 0.0000 5.2316
Ga 2.2167 2.2167 5.2316
Ga 2.2167 0.0000 9.2148
La 2.2167 0.0000 2.5746
La 0.0000 2.2167 7.8885
Pt 0.0000 0.0000 0.0000
Pt 2.2167 2.2167 0.0000
```

Computed properties:
* energy above the most stable polymorph in this dataset: 0.043 eV/atom
* raw total energy: -4.89 eV per atom
* SG: No. 129